Entry 1:
A relaxed structure of NaGaBi2. Source: Alexandria, functional PBEsol.

Values from the calculation:
- formation energy (eV/atom) = -0.102
- space group = I-42d (122)

Lattice parameters (Å, degrees): 6.470 6.740 6.740 76.68 61.32 61.32
Positions (direct):
Na 0.250 0.500 0.500
Na 0.500 0.000 0.000
Bi 0.076 0.049 0.549
Bi 0.674 0.951 0.451
Bi 0.375 0.549 0.951
Bi 0.875 0.451 0.049
Ga 0.750 0.500 0.500
Ga 0.000 0.000 0.000

---

Entry 2:
A relaxed structure of NaGaBiO2. Source: Alexandria, functional PBEsol.

Values from the calculation:
- space group = P4/mmm (123)
- E_form (uncorrected) (meV/atom) = 471.5

Lattice parameters (Å, degrees): 4.194 4.194 5.309 90.00 90.00 90.00
Each line ends with the local moment (μB).
Positions (direct):
O 0.000 0.500 0.000  0.66
O 0.500 0.000 0.000  0.66
Na 0.000 0.000 0.000  -0.01
Bi 0.000 0.000 0.500  -0.01
Ga 0.500 0.500 0.500  0.00